This record from Alexandria via LeMat-Bulk describes a geometry-optimized GaCoP2O structure. The functional is GGA+U.

Output
volume: 17.23 Å³/atom
electronic total energy: -4.18 eV/atom

a b c (Å): 4.947 4.947 3.520
angles (deg): 90.00 90.00 90.00
Space group P4/mmm (No. 123)
Inequivalent atoms, fractional coordinates:
Ga  0.000  0.000  0.000 (multiplicity 1)
Co  0.500  0.500  0.500 (multiplicity 1)
P  0.000  0.500  0.000 (multiplicity 2)
O  0.000  0.000  0.500 (multiplicity 1)